Here is an optimized crystal structure of YHoS2 from OQMD via LeMat-Bulk. Energies are from PBE.

extended XYZ file:
```
4
Lattice="3.8985 0.0000 0.0000 0.0000 3.8985 0.0000 0.0000 0.0000 5.5134" Properties=species:S:1:pos:R:3 pbc="T T T"
Y 0.0000 0.0000 0.0000
Ho 1.9493 1.9493 2.7567
S 0.0000 0.0000 2.7567
S 1.9493 1.9493 0.0000
```

Results
E_tot: -6.81 eV/atom
Calculated volume: 84 Å³/cell
Magnetic moment: 0.041 μB per formula unit


Here is an optimized crystal structure of NiAsPd from OQMD via LeMat-Bulk. Energies are from PBE.

extended XYZ file:
```
9
Lattice="6.8570 0.0000 0.0000 -3.4285 5.9383 0.0000 0.0000 0.0000 3.1317" Properties=species:S:1:pos:R:3 pbc="T T T"
Ni -2.1620 3.7447 0.0000
Ni 1.2665 2.1936 0.0000
Ni 4.3240 0.0000 0.0000
As 0.0000 0.0000 0.0000
As 0.0000 3.9589 1.5659
As 3.4285 1.9794 1.5659
Pd -1.0099 1.7492 1.5659
Pd 2.0199 0.0000 1.5659
Pd 2.4186 4.1891 1.5659
```

Results
E_tot: -5.32 eV/atom
Calculated volume: 128 Å³/cell
Magnetic moment: 0.001 μB per formula unit


Here is an optimized crystal structure of Tb2F from OQMD via LeMat-Bulk. Energies are from PBE.

extended XYZ file:
```
6
Lattice="0.0000 4.3736 4.3736 4.3736 0.0000 4.3736 4.3736 4.3736 0.0000" Properties=species:S:1:pos:R:3 pbc="T T T"
Tb 0.0000 0.0000 0.0000
Tb 2.1868 2.1868 0.0000
Tb 2.1868 0.0000 2.1868
Tb 0.0000 2.1868 2.1868
F 3.2802 3.2802 3.2802
F 5.4670 5.4670 5.4670
```

Results
E_tot: -3.64 eV/atom
Calculated volume: 167 Å³/cell
Magnetic moment: 0.347 μB per formula unit